Entry 1:
Sr8GaPt2, relaxed, DFT GGA-PBE; crystal system = trigonal; DOS at the Fermi energy = 0.7870 states/eV per atom; magnetization = 0.000 μB per formula unit; final energy = -2.84 eV per atom; volume = 519 Å³/f.u.
1.0
9.7839 0.0000 0.0000
-4.8919 8.4731 0.0000
0.0000 0.0000 6.2592
Sr Ga Pt
8 1 2
Direct
0.1621 0.3264 0.2495
0.1643 0.8379 0.2495
0.3264 0.1643 0.7505
0.3333 0.6667 0.7577
0.6667 0.3333 0.2423
0.6736 0.8357 0.2495
0.8357 0.1621 0.7505
0.8379 0.6736 0.7505
0.0000 0.0000 0.5000
0.3333 0.6667 0.2625
0.6667 0.3333 0.7375


Entry 2:
RbRe3Br, relaxed, DFT GGA-PBE; crystal system = cubic; ΔE_f (raw) = 4.44 eV/atom; distance to the lowest polymorph of the same formula = 1.7596 eV per atom; DOS at the Fermi energy = 1.8337 states/eV per atom; magnetization = 5.038 μB per formula unit; final energy = -3.55 eV per atom; volume = 117 Å³/f.u.
1.0
4.8960 0.0000 0.0000
0.0000 4.8960 0.0000
0.0000 0.0000 4.8960
Rb Re Br
1 3 1
Direct
0.0000 0.0000 0.0000
0.0000 0.0000 0.5000
0.0000 0.5000 0.0000
0.5000 0.0000 0.0000
0.5000 0.5000 0.5000


Entry 3:
MgH2, relaxed, DFT GGA-PBE; crystal system = trigonal; DOS at the Fermi energy = 0.0000 states/eV per atom; magnetization = 0.000 μB per formula unit; final energy = -2.91 eV per atom; volume = 33 Å³/f.u.
1.0
1.5026 0.8675 8.4171
-1.5026 0.8675 8.4171
0.0000 -1.7351 8.4171
Mg H
2 4
Direct
0.0000 0.0000 0.0000
0.5000 0.5000 0.5000
0.1298 0.1298 0.1298
0.2964 0.2964 0.2964
0.7036 0.7036 0.7036
0.8702 0.8702 0.8702


Entry 4:
Tb4Pr7Pu, relaxed, DFT GGA-PBE; crystal system = monoclinic; DOS at the Fermi energy = 1.7984 states/eV per atom; magnetization = 6.548 μB per formula unit; final energy = -5.39 eV per atom; volume = 415 Å³/f.u.
1.0
11.2297 -2.9111 0.0000
11.2297 2.9111 0.0000
-1.3877 0.0000 6.3471
Tb Pr Pu
4 7 1
Direct
0.1148 0.1148 0.3356
0.2086 0.2086 0.8898
0.7914 0.7914 0.1102
0.8852 0.8852 0.6644
0.0476 0.0476 0.7997
0.2914 0.2914 0.4394
0.3649 0.3649 0.0099
0.5000 0.5000 0.5000
0.6351 0.6351 0.9901
0.7086 0.7086 0.5606
0.9524 0.9524 0.2003
0.5000 0.5000 0.0000


Entry 5:
LiRu2Br, relaxed, DFT GGA-PBE; crystal system = orthorhombic; ΔE_f (raw) = 0.42 eV/atom; distance to the lowest polymorph of the same formula = 0.2523 eV per atom; DOS at the Fermi energy = 0.7543 states/eV per atom; magnetization = 0.000 μB per formula unit; final energy = -5.12 eV per atom; volume = 67 Å³/f.u.
1.0
0.0000 2.5093 5.3551
2.5027 0.0000 5.3551
2.5027 2.5093 0.0000
Li Ru Br
1 2 1
Direct
0.0000 0.0000 0.0000
0.0000 0.5000 0.0000
0.5000 0.0000 0.5000
0.5000 0.5000 0.5000


Entry 6:
MgCu2Au5, relaxed, DFT GGA-PBE; crystal system = orthorhombic; distance to the lowest polymorph of the same formula = 0.0000 eV per atom; DOS at the Fermi energy = 0.2225 states/eV per atom; magnetization = 0.000 μB per formula unit; final energy = -3.45 eV per atom; volume = 133 Å³/f.u.
1.0
5.7184 0.0000 0.0000
0.0000 11.4952 0.0000
0.0000 0.0000 4.0351
Mg Cu Au
2 4 10
Direct
0.0000 0.0000 0.0000
0.5000 0.5000 0.0000
0.2258 0.3713 0.5000
0.2742 0.8713 0.5000
0.7258 0.1287 0.5000
0.7742 0.6287 0.5000
0.0000 0.5000 0.0000
0.0261 0.7588 0.0000
0.2327 0.1176 0.5000
0.2673 0.6176 0.5000
0.4739 0.2588 0.0000
0.5000 0.0000 0.0000
0.5261 0.7412 0.0000
0.7327 0.3824 0.5000
0.7673 0.8824 0.5000
0.9739 0.2412 0.0000